No. 1
The following is a DFT calculation (PBE) of a geometry-optimized Mn2InCl structure.

E above lowest polymorph = 0.22 eV per formula unit
uncorrected formation energy = 0.091 eV per atom

a b c (Å): 9.6279 9.6279 9.6279
angles (deg): 18.54 18.54 18.54
With the nearest neighbours (Å) after each atom.
Sites, in units of the cell vectors:
Cl: 0.5261 0.5261 0.5261  3 Mn 2.42
Mn: 0.9878 0.9878 0.9878  3 Mn 2.70, 3 In 2.93
Mn: 0.2500 0.2500 0.2500  3 Cl 2.42, 3 Mn 2.70
In: 0.7360 0.7360 0.7360  3 Mn 2.93, 6 In 3.10

---

No. 2
The following is a DFT calculation (PBE) of a geometry-optimized CaPr3Zn2 structure.

E above lowest polymorph = 0.00 eV per formula unit
E_form = -0.186 eV per atom

a b c (Å): 3.7693 3.7693 12.6650
angles (deg): 90.00 90.00 90.00
With the nearest neighbours (Å) after each atom.
Sites, in units of the cell vectors:
Ca: 0.5000 0.5000 0.5000  4 Ca 3.77, 8 Pr 3.85
Pr: 0.0000 0.0000 0.0000  8 Zn 3.24, 2 Pr 3.55
Pr: 0.0000 0.0000 0.7196  4 Zn 3.17
Pr: 0.0000 0.0000 0.2804  4 Zn 3.17
Zn: 0.5000 0.5000 0.8550  8 Pr 3.17-3.24
Zn: 0.5000 0.5000 0.1450  8 Pr 3.17-3.24

---

No. 3
The following is a DFT calculation (PBE) of a geometry-optimized TmV4Ru structure.

E_form = 0.090 eV per atom

a b c (Å): 5.0925 5.0925 5.0925
angles (deg): 60.00 60.00 60.00
With the nearest neighbours (Å) after each atom.
Sites, in units of the cell vectors:
Ru: 0.2500 0.2500 0.2500  12 V 2.99, 4 Tm 3.12
Tm: 0.0000 0.0000 0.0000  12 V 2.99, 4 Ru 3.12
V: 0.6253 0.6253 0.1240  6 V 2.54-2.55
V: 0.6253 0.1240 0.6253  6 V 2.54-2.55
V: 0.6253 0.6253 0.6253  6 V 2.54-2.55
V: 0.1240 0.6253 0.6253  6 V 2.54-2.55

---

No. 4
The following is a DFT calculation (PBE) of a geometry-optimized TbPmH2 structure.

E above lowest polymorph = 0.34 eV per formula unit

a b c (Å): 3.5637 3.5637 6.2909
angles (deg): 73.55 73.55 60.00
With the nearest neighbours (Å) after each atom.
Sites, in units of the cell vectors:
Tb: 0.4926 0.4926 0.5223  6 H 2.45-2.63
Pm: 0.6715 0.6715 0.9856  6 H 2.51-2.58
H: 0.0851 0.0851 0.7446  3 Tb 2.45, 3 Pm 2.51
H: 0.2508 0.2508 0.2475  3 Pm 2.58, 3 Tb 2.63

---

No. 5
The following is a DFT calculation (PBE) of a geometry-optimized Th2TiTe2Br4 structure.

uncorrected formation energy = -1.143 eV per atom

a b c (Å): 3.7995 3.7995 23.9106
angles (deg): 90.00 90.00 120.00
With the nearest neighbours (Å) after each atom.
Sites, in units of the cell vectors:
Th: 0.0000 0.0000 0.9847  6 Br 3.04
Th: 0.6667 0.3333 0.6475  6 Br 3.03-3.04
Ti: 0.0000 0.0000 0.3268  6 Te 2.82
Te: 0.6667 0.3333 0.4008  3 Ti 2.82
Te: 0.6667 0.3333 0.2529  3 Ti 2.82
Br: 0.0000 0.0000 0.5599  3 Th 3.03
Br: 0.6667 0.3333 0.0724  3 Th 3.04
Br: 0.6667 0.3333 0.8964  3 Th 3.04
Br: 0.0000 0.0000 0.7358  3 Th 3.04

---

No. 6
The following is a DFT calculation (PBE) of a geometry-optimized Sc5Cu4 structure.

E above lowest polymorph = 0.00 eV per formula unit
E_form = -0.139 eV per atom

a b c (Å): 8.2222 8.2222 5.6992
angles (deg): 90.00 90.00 60.00
With the nearest neighbours (Å) after each atom.
Sites, in units of the cell vectors:
Sc: 0.2832 0.7168 0.2500  7 Cu 2.69-2.98
Sc: 0.0000 0.2832 0.2500  7 Cu 2.69-2.98
Sc: 0.7168 0.0000 0.2500  7 Cu 2.69-2.98
Sc: 0.7168 0.2832 0.7500  7 Cu 2.69-2.98
Sc: 0.0000 0.7168 0.7500  7 Cu 2.69-2.98
Sc: 0.2832 0.0000 0.7500  7 Cu 2.69-2.98
Sc: 0.3333 0.3333 0.0000  2 Sc 2.85, 6 Cu 2.91
Sc: 0.6667 0.6667 0.5000  2 Sc 2.85, 6 Cu 2.91
Sc: 0.6667 0.6667 0.0000  2 Sc 2.85, 6 Cu 2.91
Sc: 0.3333 0.3333 0.5000  2 Sc 2.85, 6 Cu 2.91
Cu: 0.0000 0.0000 0.0000  6 Sc 2.73, 2 Cu 2.85
Cu: 0.0000 0.0000 0.5000  6 Sc 2.73, 2 Cu 2.85
Cu: 0.6103 0.3897 0.2500  9 Sc 2.69-2.98
Cu: 0.0000 0.6103 0.2500  9 Sc 2.69-2.98
Cu: 0.3897 0.0000 0.2500  9 Sc 2.69-2.98
Cu: 0.3897 0.6103 0.7500  9 Sc 2.69-2.98
Cu: 0.0000 0.3897 0.7500  9 Sc 2.69-2.98
Cu: 0.6103 0.0000 0.7500  9 Sc 2.69-2.98

---

No. 7
The following is a DFT calculation (PBE) of a geometry-optimized AlAs2AuC structure.

E_form = 1.261 eV per atom

a b c (Å): 5.3218 3.7670 5.3218
angles (deg): 90.00 90.00 90.00
With the nearest neighbours (Å) after each atom.
Sites, in units of the cell vectors:
C: 0.0000 0.5000 0.0000  2 Au 1.88
As: 0.0000 0.0000 0.5000  2 Au 2.66
As: 0.5000 0.0000 0.0000  2 Au 2.66
Au: 0.0000 0.0000 0.0000  2 C 1.88
Al: 0.5000 0.5000 0.5000  8 As 3.26

---

No. 8
The following is a DFT calculation (PBE) of a geometry-optimized CaAg3Cl structure.

E above lowest polymorph = 2.08 eV per formula unit
uncorrected formation energy = 0.733 eV per atom

a b c (Å): 5.5924 5.5924 5.5924
angles (deg): 90.00 90.00 90.00
With the nearest neighbours (Å) after each atom.
Sites, in units of the cell vectors:
Ca: 0.0000 0.0000 0.0000  6 Ag 2.80
Ag: 0.0000 0.5000 0.0000  2 Ca 2.80
Ag: 0.0000 0.0000 0.5000  2 Ca 2.80
Ag: 0.5000 0.0000 0.0000  2 Ca 2.80
Cl: 0.5000 0.5000 0.5000  12 Ag 3.95

---

No. 9
The following is a DFT calculation (PBE) of a geometry-optimized ScBeOs2 structure.

E_form = 0.014 eV per atom

a b c (Å): 2.7646 2.7646 7.9513
angles (deg): 90.00 90.00 112.70
With the nearest neighbours (Å) after each atom.
Sites, in units of the cell vectors:
Sc: 0.5000 0.5000 0.2500  4 Os 2.71, 4 Sc 2.76
Be: 0.5000 0.5000 0.7500  4 Os 2.32
Os: 0.0000 0.0000 0.9695  2 Be 2.32
Os: 0.0000 0.0000 0.5305  2 Be 2.32

---

No. 10
The following is a DFT calculation (PBE) of a geometry-optimized Mn2Al2Pd7 structure.

E_form = -0.163 eV per atom

a b c (Å): 5.3771 7.0940 5.3771
angles (deg): 89.83 117.39 90.17
With the nearest neighbours (Å) after each atom.
Sites, in units of the cell vectors:
Mn: 0.7257 0.0007 0.2743  7 Pd 2.52-2.61
Mn: 0.2743 0.9993 0.7257  7 Pd 2.52-2.61
Al: 0.7579 0.5000 0.7579  6 Pd 2.50-2.67, 1 Al 2.71
Al: 0.2421 0.5000 0.2421  6 Pd 2.50-2.67, 1 Al 2.71
Pd: 0.0000 0.3092 0.5010  2 Mn 2.61, 2 Al 2.67, 5 Pd 2.71-2.80
Pd: 0.5010 0.6908 0.0000  2 Mn 2.61, 2 Al 2.67, 5 Pd 2.71-2.80
Pd: 0.0000 0.6908 0.4990  2 Mn 2.61, 2 Al 2.67, 5 Pd 2.71-2.80
Pd: 0.4990 0.3092 0.0000  2 Mn 2.61, 2 Al 2.67, 5 Pd 2.71-2.80
Pd: 0.0000 0.0000 0.0000  2 Mn 2.52
Pd: 0.5003 0.7875 0.4997  2 Al 2.50, 2 Mn 2.56-2.57, 4 Pd 2.77-2.78
Pd: 0.4997 0.2125 0.5003  2 Al 2.50, 2 Mn 2.56-2.57, 4 Pd 2.77-2.78

---

No. 11
The following is a DFT calculation (PBE) of a geometry-optimized ThZnFeGe2 structure.

E_form = -0.332 eV per atom

a b c (Å): 5.7662 5.6143 5.7607
angles (deg): 90.00 90.00 90.00
With the nearest neighbours (Å) after each atom.
Sites, in units of the cell vectors:
Th: 0.2359 0.2500 0.5000  2 Zn 2.99, 8 Ge 3.14-3.26
Th: 0.7641 0.7500 0.5000  2 Zn 2.99, 8 Ge 3.14-3.26
Zn: 0.6221 0.7500 0.0000  2 Ge 2.59, 2 Fe 2.59
Zn: 0.3779 0.2500 0.0000  2 Ge 2.59, 2 Fe 2.59
Fe: 0.0000 0.0000 0.0000  4 Ge 2.51, 2 Zn 2.59, 2 Fe 2.81
Fe: 0.0000 0.5000 0.0000  4 Ge 2.51, 2 Zn 2.59, 2 Fe 2.81
Ge: 0.7461 0.2500 0.7423  2 Fe 2.51, 1 Zn 2.59, 1 Ge 2.79
Ge: 0.7461 0.2500 0.2577  2 Fe 2.51, 1 Zn 2.59, 1 Ge 2.79
Ge: 0.2539 0.7500 0.7423  2 Fe 2.51, 1 Zn 2.59, 1 Ge 2.79
Ge: 0.2539 0.7500 0.2577  2 Fe 2.51, 1 Zn 2.59, 1 Ge 2.79

---

No. 12
The following is a DFT calculation (PBE) of a geometry-optimized SrRePt2 structure.

E above lowest polymorph = 0.12 eV per formula unit
E_form = -0.035 eV per atom

a b c (Å): 2.9514 2.9514 8.4500
angles (deg): 90.00 90.00 90.00
With the nearest neighbours (Å) after each atom.
Sites, in units of the cell vectors:
Pt: 0.0000 0.0000 0.0411  4 Re 2.73, 4 Pt 2.95
Pt: 0.0000 0.0000 0.4589  4 Re 2.73, 4 Pt 2.95
Re: 0.5000 0.5000 0.2500  8 Pt 2.73, 4 Re 2.95
Sr: 0.5000 0.5000 0.7500  4 Sr 2.95, 8 Pt 3.23

---

No. 13
The following is a DFT calculation (PBE) of a geometry-optimized Pr12Y7Cd structure.

E_form = 0.670 eV per atom

a b c (Å): 10.1534 10.1534 10.1534
angles (deg): 109.47 109.47 109.47
With the nearest neighbours (Å) after each atom.
Sites, in units of the cell vectors:
Pr: 0.5540 0.7776 0.7764  2 Y 2.97
Pr: 0.0012 0.7776 0.2236  2 Y 2.97
Pr: 0.4460 0.2224 0.2236  2 Y 2.97
Pr: 0.9988 0.2224 0.7764  2 Y 2.97
Pr: 0.7764 0.9988 0.2224  2 Y 2.97
Pr: 0.7764 0.5540 0.7776  2 Y 2.97
Pr: 0.2236 0.0012 0.7776  2 Y 2.97
Pr: 0.2236 0.4460 0.2224  2 Y 2.97
Pr: 0.7776 0.7764 0.5540  2 Y 2.97
Pr: 0.2224 0.2236 0.4460  2 Y 2.97
Pr: 0.7776 0.2236 0.0012  2 Y 2.97
Pr: 0.2224 0.7764 0.9988  2 Y 2.97
Y: 0.5000 0.5000 0.0000  12 Pr 4.16-4.59
Y: 0.0000 0.5000 0.5000  12 Pr 4.16-4.59
Y: 0.5000 0.0000 0.5000  12 Pr 4.16-4.59
Y: 0.5000 0.5000 0.5000  6 Pr 2.97
Y: 0.0000 0.0000 0.5000  6 Pr 2.97
Y: 0.5000 0.0000 0.0000  6 Pr 2.97
Y: 0.0000 0.5000 0.0000  6 Pr 2.97
Cd: 0.0000 0.0000 0.0000  12 Pr 3.70

---

No. 14
The following is a DFT calculation (PBE) of a geometry-optimized LiPmAlGe structure.

E_form = -0.287 eV per atom

a b c (Å): 4.9441 4.9441 4.9441
angles (deg): 60.00 60.00 60.00
With the nearest neighbours (Å) after each atom.
Sites, in units of the cell vectors:
Ge: 0.2500 0.2500 0.2500  4 Pm 3.03, 4 Li 3.03
Li: 0.5000 0.5000 0.5000  4 Ge 3.03, 4 Al 3.03
Al: 0.7500 0.7500 0.7500  4 Li 3.03, 4 Pm 3.03
Pm: 0.0000 0.0000 0.0000  4 Al 3.03, 4 Ge 3.03

---

No. 15
The following is a DFT calculation (PBE) of a geometry-optimized Ti6MnPd12 structure.

E_form = -0.438 eV per atom

a b c (Å): 6.6826 6.6826 6.6826
angles (deg): 89.74 89.74 89.74
With the nearest neighbours (Å) after each atom.
Sites, in units of the cell vectors:
Ti: 0.7144 0.8797 0.2612  8 Pd 2.63-2.85, 1 Mn 2.70, 2 Ti 2.87
Ti: 0.7388 0.2856 0.1203  8 Pd 2.63-2.85, 1 Mn 2.70, 2 Ti 2.87
Ti: 0.1203 0.7388 0.2856  8 Pd 2.63-2.85, 1 Mn 2.70, 2 Ti 2.87
Ti: 0.2856 0.1203 0.7388  8 Pd 2.63-2.85, 1 Mn 2.70, 2 Ti 2.87
Ti: 0.2612 0.7144 0.8797  8 Pd 2.63-2.85, 1 Mn 2.70, 2 Ti 2.87
Ti: 0.8797 0.2612 0.7144  8 Pd 2.63-2.85, 1 Mn 2.70, 2 Ti 2.87
Mn: 0.0000 0.0000 0.0000  6 Pd 2.62, 6 Ti 2.70
Pd: 0.7980 0.5368 0.4379  4 Ti 2.63-2.74, 4 Pd 2.75-2.87
Pd: 0.4379 0.7980 0.5368  4 Ti 2.63-2.74, 4 Pd 2.75-2.87
Pd: 0.5368 0.4379 0.7980  4 Ti 2.63-2.74, 4 Pd 2.75-2.87
Pd: 0.2020 0.4632 0.5621  4 Ti 2.63-2.74, 4 Pd 2.75-2.87
Pd: 0.5621 0.2020 0.4632  4 Ti 2.63-2.74, 4 Pd 2.75-2.87
Pd: 0.4632 0.5621 0.2020  4 Ti 2.63-2.74, 4 Pd 2.75-2.87
Pd: 0.0235 0.1469 0.3616  1 Mn 2.62, 4 Ti 2.66-2.85, 4 Pd 2.71-2.79
Pd: 0.8531 0.6384 0.9765  1 Mn 2.62, 4 Ti 2.66-2.85, 4 Pd 2.71-2.79
Pd: 0.6384 0.9765 0.8531  1 Mn 2.62, 4 Ti 2.66-2.85, 4 Pd 2.71-2.79
Pd: 0.9765 0.8531 0.6384  1 Mn 2.62, 4 Ti 2.66-2.85, 4 Pd 2.71-2.79
Pd: 0.1469 0.3616 0.0235  1 Mn 2.62, 4 Ti 2.66-2.85, 4 Pd 2.71-2.79
Pd: 0.3616 0.0235 0.1469  1 Mn 2.62, 4 Ti 2.66-2.85, 4 Pd 2.71-2.79

---

No. 16
The following is a DFT calculation (PBE) of a geometry-optimized SrCa2In2Ga2 structure.

E_form = -0.343 eV per atom

a b c (Å): 4.8462 4.8462 10.2602
angles (deg): 76.34 76.34 60.00
With the nearest neighbours (Å) after each atom.
Sites, in units of the cell vectors:
Sr: 0.0000 0.0000 0.0000  6 In 3.57, 6 Ga 3.90, 2 Ca 3.94
Ca: 0.1330 0.1330 0.6009  3 Ga 3.05, 3 In 3.29
Ca: 0.8670 0.8670 0.3991  3 Ga 3.05, 3 In 3.29
In: 0.7413 0.7413 0.7760  3 Ga 2.84
In: 0.2587 0.2587 0.2240  3 Ga 2.84
Ga: 0.5751 0.5751 0.2748  3 In 2.84, 3 Ca 3.05
Ga: 0.4249 0.4249 0.7252  3 In 2.84, 3 Ca 3.05

---

No. 17
The following is a DFT calculation (PBE) of a geometry-optimized Mg4In7Hg structure.

E above lowest polymorph = 0.90 eV per formula unit
E_form = 0.024 eV per atom

a b c (Å): 5.6995 9.8727 6.5520
angles (deg): 81.85 64.22 73.22
With the nearest neighbours (Å) after each atom.
Sites, in units of the cell vectors:
Mg: 0.5834 0.2350 0.5983  8 In 3.01-3.25, 1 Mg 3.27
Mg: 0.4166 0.7650 0.4017  8 In 3.01-3.25, 1 Mg 3.27
Mg: 0.7219 0.6950 0.8612  6 In 3.01-3.22, 1 Mg 3.27
Mg: 0.2781 0.3050 0.1388  6 In 3.01-3.22, 1 Mg 3.27
In: 0.7976 0.9217 0.4832  1 Hg 2.93, 4 Mg 3.05-3.25, 4 In 3.08-3.22
In: 0.2024 0.0783 0.5168  1 Hg 2.93, 4 Mg 3.05-3.25, 4 In 3.08-3.22
In: 0.0398 0.6186 0.3017  5 In 3.08-3.29, 4 Mg 3.13-3.39
In: 0.9602 0.3814 0.6983  5 In 3.08-3.29, 4 Mg 3.13-3.39
In: 0.3379 0.5461 0.7781  5 Mg 3.01-3.22, 3 In 3.18-3.29
In: 0.5000 0.0000 0.0000  2 Hg 2.85, 2 Mg 3.01, 2 In 3.15
In: 0.6621 0.4539 0.2219  5 Mg 3.01-3.22, 3 In 3.18-3.29
Hg: 0.0000 0.0000 0.0000  4 In 2.85-2.93

---

No. 18
The following is a DFT calculation (PBE) of a geometry-optimized Rb5In structure.

E_form = 0.068 eV per atom

a b c (Å): 5.0243 7.3743 12.0621
angles (deg): 107.80 90.00 90.00
With the nearest neighbours (Å) after each atom.
Sites, in units of the cell vectors:
Rb: 0.0000 0.6805 0.3610  12 Rb 4.64-5.11
Rb: 0.0000 0.3195 0.6390  12 Rb 4.64-5.11
Rb: 0.5000 0.5000 0.0000  4 In 4.46, 8 Rb 4.68-4.85
Rb: 0.5000 0.1255 0.2511  2 In 3.82
Rb: 0.5000 0.8745 0.7489  2 In 3.82
In: 0.0000 0.0000 0.0000  4 Rb 3.82

---

No. 19
The following is a DFT calculation (PBE) of a geometry-optimized Zn5Cu6Si structure.

uncorrected formation energy = -0.061 eV per atom

a b c (Å): 4.2163 5.8091 6.6823
angles (deg): 90.00 71.61 90.00
With the nearest neighbours (Å) after each atom.
Sites, in units of the cell vectors:
Zn: 0.6690 0.5000 0.6619  8 Cu 2.57-2.64
Zn: 0.3256 0.0000 0.3489  8 Cu 2.55-2.60, 2 Zn 2.85
Zn: 0.0000 0.5000 0.0000  8 Cu 2.50-2.61
Zn: 0.6744 0.0000 0.6511  8 Cu 2.55-2.60, 2 Zn 2.85
Zn: 0.3310 0.5000 0.3381  8 Cu 2.57-2.64
Si: 0.0000 0.0000 0.0000  8 Cu 2.48-2.52
Cu: 0.8402 0.7530 0.3196  1 Si 2.48, 7 Zn 2.50-2.62
Cu: 0.8402 0.2470 0.3196  1 Si 2.48, 7 Zn 2.50-2.62
Cu: 0.5000 0.2361 0.0000  2 Si 2.51-2.52, 6 Zn 2.60-2.64, 1 Cu 2.74
Cu: 0.5000 0.7639 0.0000  2 Si 2.51-2.52, 6 Zn 2.60-2.64, 1 Cu 2.74
Cu: 0.1598 0.7530 0.6804  1 Si 2.48, 7 Zn 2.50-2.62
Cu: 0.1598 0.2470 0.6804  1 Si 2.48, 7 Zn 2.50-2.62

---

No. 20
The following is a DFT calculation (PBE) of a geometry-optimized DyPuNpO6 structure.

uncorrected formation energy = -3.073 eV per atom

a b c (Å): 5.7581 5.7581 9.3978
angles (deg): 90.00 90.00 120.00
With the nearest neighbours (Å) after each atom.
Sites, in units of the cell vectors:
Dy: 0.3333 0.6667 0.2500  6 O 2.28
Dy: 0.6667 0.3333 0.7500  6 O 2.28
Pu: 0.0000 0.0000 0.0000  6 O 2.32
Pu: 0.0000 0.0000 0.5000  6 O 2.32
Np: 0.6667 0.3333 0.2500  6 O 2.12
Np: 0.3333 0.6667 0.7500  6 O 2.12
O: 0.6714 0.6501 0.1320  1 Np 2.12, 1 Dy 2.28, 1 Pu 2.32
O: 0.9787 0.3286 0.1320  1 Np 2.12, 1 Dy 2.28, 1 Pu 2.32
O: 0.3286 0.9787 0.6320  1 Np 2.12, 1 Dy 2.28, 1 Pu 2.32
O: 0.0213 0.6714 0.8680  1 Np 2.12, 1 Dy 2.28, 1 Pu 2.32
O: 0.3499 0.3286 0.3680  1 Np 2.12, 1 Dy 2.28, 1 Pu 2.32
O: 0.9787 0.6501 0.3680  1 Np 2.12, 1 Dy 2.28, 1 Pu 2.32
O: 0.6501 0.9787 0.8680  1 Np 2.12, 1 Dy 2.28, 1 Pu 2.32
O: 0.6714 0.0213 0.3680  1 Np 2.12, 1 Dy 2.28, 1 Pu 2.32
O: 0.0213 0.3499 0.6320  1 Np 2.12, 1 Dy 2.28, 1 Pu 2.32
O: 0.3499 0.0213 0.1320  1 Np 2.12, 1 Dy 2.28, 1 Pu 2.32
O: 0.6501 0.6714 0.6320  1 Np 2.12, 1 Dy 2.28, 1 Pu 2.32
O: 0.3286 0.3499 0.8680  1 Np 2.12, 1 Dy 2.28, 1 Pu 2.32